(1)
Th3Ni7Ir2: optimized geometry, GGA-PBE.

Lattice parameters (Å, degrees): 5.1055 5.1055 8.9925 73.51 73.51 60.00
Last column: nearest neighbours and their distance in Å.
Positions (direct):
Th1 0.0000 0.0000 0.0000  6 Ir 2.95
Th2 0.8620 0.8620 0.4140  12 Ni 2.89-3.17
Th3 0.1380 0.1380 0.5860  12 Ni 2.89-3.17
Ni1 0.5000 0.5000 0.5000  6 Ni 2.55
Ni2 0.9163 0.4144 0.2549  5 Ni 2.54-2.56, 2 Ir 2.59-2.65
Ni3 0.4144 0.9163 0.2549  5 Ni 2.54-2.56, 2 Ir 2.59-2.65
Ni4 0.4144 0.4144 0.2549  5 Ni 2.54-2.56, 2 Ir 2.59-2.65
Ni5 0.0837 0.5856 0.7451  5 Ni 2.54-2.56, 2 Ir 2.59-2.65
Ni6 0.5856 0.5856 0.7451  5 Ni 2.54-2.56, 2 Ir 2.59-2.65
Ni7 0.5856 0.0837 0.7451  5 Ni 2.54-2.56, 2 Ir 2.59-2.65
Ir1 0.6681 0.6681 0.9956  6 Ni 2.59-2.65
Ir2 0.3319 0.3319 0.0044  6 Ni 2.59-2.65

- ΔE_f (meV/atom) = -433
- density of states at the Fermi level (states/eV/cell) = 15.46
- volume (Å³/f.u.) = 191.8
- total magnetization (μB per atom) = 0.00
- total energy (eV per atom) = -7.14

(2)
ThNiIr: optimized geometry, GGA-PBE.

Lattice parameters (Å, degrees): 5.3204 5.3204 5.3204 90.57 117.28 122.12
Last column: nearest neighbours and their distance in Å.
Positions (direct):
Th1 0.2500 0.1231 0.8731  6 Ir 3.07-3.14, 6 Ni 3.08-3.20, 4 Th 3.20-3.33
Th2 0.7500 0.8769 0.1269  6 Ir 3.07-3.14, 6 Ni 3.08-3.20, 4 Th 3.20-3.33
Ni1 0.0000 0.5000 0.5000  2 Ni 2.57, 4 Ir 2.66
Ni2 0.5000 0.0000 0.5000  2 Ni 2.57, 4 Ir 2.66
Ir1 0.5000 0.5000 0.5000  4 Ni 2.66, 2 Ir 2.77
Ir2 0.0000 0.5000 0.0000  4 Ni 2.66, 2 Ir 2.77

- ΔE_f (meV/atom) = -660
- density of states at the Fermi level (states/eV/cell) = 4.72
- volume (Å³/f.u.) = 53.4
- total magnetization (μB per atom) = 0.00
- total energy (eV per atom) = -8.01

(3)
ThNiIr: optimized geometry, GGA-PBE.

Lattice parameters (Å, degrees): 3.6996 3.6996 4.9717 111.84 111.84 90.00
Last column: nearest neighbours and their distance in Å.
Positions (direct):
Ni1 0.2835 0.2835 0.5671  5 Th 2.77-2.99, 5 Ir 2.78-2.99
Ir1 0.9549 0.9549 0.9097  5 Ni 2.78-2.99, 5 Th 2.90-2.93
Th1 0.6116 0.6116 0.2232  5 Ni 2.77-2.99, 5 Ir 2.90-2.93

- ΔE_f (meV/atom) = -315
- density of states at the Fermi level (states/eV/cell) = 4.16
- volume (Å³/f.u.) = 57.9
- total magnetization (μB per atom) = 0.00
- total energy (eV per atom) = -7.67

(4)
ThNiIr: optimized geometry, GGA-PBE.

Lattice parameters (Å, degrees): 4.0009 5.4665 5.6382 90.00 90.00 111.47
Last column: nearest neighbours and their distance in Å.
Positions (direct):
Th1 0.1803 0.3606 0.7500  5 Ir 2.92-2.95, 4 Ni 3.06
Th2 0.8197 0.6394 0.2500  5 Ir 2.92-2.95, 4 Ni 3.06
Ni1 0.5000 0.0000 0.5000  4 Ir 2.68, 2 Ni 2.82
Ni2 0.5000 0.0000 0.0000  4 Ir 2.68, 2 Ni 2.82
Ir1 0.1066 0.2131 0.2500  4 Ni 2.68, 5 Th 2.92-2.95
Ir2 0.8934 0.7869 0.7500  4 Ni 2.68, 5 Th 2.92-2.95

- ΔE_f (meV/atom) = -638
- density of states at the Fermi level (states/eV/cell) = 3.96
- volume (Å³/f.u.) = 57.4
- total magnetization (μB per atom) = 0.00
- total energy (eV per atom) = -7.99

(5)
ThNi6Ir2: optimized geometry, GGA-PBE.

Lattice parameters (Å, degrees): 4.1874 6.7055 6.7055 47.86 71.81 71.81
Last column: nearest neighbours and their distance in Å.
Positions (direct):
Th1 0.0000 0.0000 0.0000  4 Ni 2.63
Ni1 0.7031 0.0661 0.5276  4 Ni 2.34-2.51, 1 Ir 2.53
Ni2 0.2969 0.9339 0.4724  4 Ni 2.34-2.51, 1 Ir 2.53
Ni3 0.2969 0.4724 0.9339  4 Ni 2.34-2.51, 1 Ir 2.53
Ni4 0.5000 0.7059 0.2941  3 Ni 2.24-2.34
Ni5 0.5000 0.2941 0.7059  3 Ni 2.24-2.34
Ni6 0.7031 0.5276 0.0661  4 Ni 2.34-2.51, 1 Ir 2.53
Ir1 0.8824 0.6176 0.6176  10 Ni 2.53-2.73, 1 Ir 2.71
Ir2 0.1176 0.3824 0.3824  10 Ni 2.53-2.73, 1 Ir 2.71

- ΔE_f (meV/atom) = -21
- density of states at the Fermi level (states/eV/cell) = 13.51
- volume (Å³/f.u.) = 131.2
- total magnetization (μB per atom) = 0.00
- total energy (eV per atom) = -6.67

(6)
ThNiIr2: optimized geometry, GGA-PBE.

Lattice parameters (Å, degrees): 5.3878 5.3878 8.8980 72.38 72.38 60.00
Last column: nearest neighbours and their distance in Å.
Positions (direct):
Th1 0.8612 0.8612 0.4164  9 Ir 3.05-3.23, 3 Ni 3.19, 3 Th 3.41
Th2 0.1388 0.1388 0.5836  9 Ir 3.05-3.23, 3 Ni 3.19, 3 Th 3.41
Th3 0.0000 0.0000 0.0000  6 Ni 3.11, 12 Ir 3.37, 2 Th 3.47
Ni1 0.6665 0.6665 0.0004  6 Ir 2.56
Ni2 0.3335 0.3335 0.9996  6 Ir 2.56
Ni3 0.5000 0.5000 0.5000  6 Ir 2.65
Ir1 0.4179 0.4179 0.2438  3 Ni 2.56-2.65, 4 Ir 2.68-2.71
Ir2 0.9203 0.4179 0.2438  3 Ni 2.56-2.65, 4 Ir 2.68-2.71
Ir3 0.4179 0.9203 0.2438  3 Ni 2.56-2.65, 4 Ir 2.68-2.71
Ir4 0.5821 0.5821 0.7562  3 Ni 2.56-2.65, 4 Ir 2.68-2.71
Ir5 0.5821 0.0797 0.7562  3 Ni 2.56-2.65, 4 Ir 2.68-2.71
Ir6 0.0797 0.5821 0.7562  3 Ni 2.56-2.65, 4 Ir 2.68-2.71

- ΔE_f (meV/atom) = -658
- density of states at the Fermi level (states/eV/cell) = 9.45
- volume (Å³/f.u.) = 69.9
- total magnetization (μB per atom) = 0.00
- total energy (eV per atom) = -8.39

(7)
Th2Ni5Ir5: optimized geometry, GGA-PBE.

Lattice parameters (Å, degrees): 4.2156 5.0557 9.0834 90.00 90.00 90.00
Last column: nearest neighbours and their distance in Å.
Positions (direct):
Th1 0.0000 0.5000 0.0000  10 Ir 3.04-3.29, 8 Ni 3.33
Th2 0.0000 0.0000 0.5000  6 Ir 2.85-2.93
Ni1 0.5000 0.5000 0.5000  4 Ir 2.58, 4 Ni 2.59
Ni2 0.5000 0.7444 0.2498  3 Ni 2.47-2.59, 5 Ir 2.54-2.61
Ni3 0.5000 0.2556 0.7502  3 Ni 2.47-2.59, 5 Ir 2.54-2.61
Ni4 0.5000 0.2556 0.2498  3 Ni 2.47-2.59, 5 Ir 2.54-2.61
Ni5 0.5000 0.7444 0.7502  3 Ni 2.47-2.59, 5 Ir 2.54-2.61
Ir1 0.0000 0.5000 0.3365  6 Ni 2.57-2.58, 2 Ir 2.87
Ir2 0.0000 0.0000 0.8140  4 Ni 2.54, 2 Ir 2.70
Ir3 0.0000 0.0000 0.1860  4 Ni 2.54, 2 Ir 2.70
Ir4 0.0000 0.5000 0.6635  6 Ni 2.57-2.58, 2 Ir 2.87
Ir5 0.5000 0.0000 0.0000  4 Ni 2.61, 4 Ir 2.70

- ΔE_f (meV/atom) = -391
- density of states at the Fermi level (states/eV/cell) = 15.52
- volume (Å³/f.u.) = 193.6
- total magnetization (μB per atom) = 0.00
- total energy (eV per atom) = -7.73

(8)
Th4Ni3Ir: optimized geometry, GGA-PBE.

Lattice parameters (Å, degrees): 3.8106 4.2838 10.9815 90.00 90.00 90.00
Last column: nearest neighbours and their distance in Å.
Positions (direct):
Ni1 0.0000 0.5000 0.5824  2 Ni 2.80, 7 Th 2.93-3.06
Ni2 0.0000 0.0000 0.4181  2 Ni 2.80, 7 Th 2.92-3.10
Ni3 0.5000 0.0000 0.9057  7 Th 2.91-3.16, 2 Ir 2.97
Ir1 0.5000 0.5000 0.0927  7 Th 2.90-3.17, 2 Ni 2.97
Th1 0.5000 0.5000 0.3686  6 Ni 2.92-3.02, 1 Ir 3.03
Th2 0.0000 0.5000 0.8614  5 Ni 2.91-3.06, 2 Ir 3.17
Th3 0.0000 0.0000 0.1354  4 Ir 2.90, 3 Ni 3.10-3.16
Th4 0.5000 0.0000 0.6358  7 Ni 2.93-3.06

- ΔE_f (meV/atom) = -571
- density of states at the Fermi level (states/eV/cell) = 7.27
- volume (Å³/f.u.) = 179.3
- total magnetization (μB per atom) = 0.00
- total energy (eV per atom) = -7.56

(9)
ThNi2Ir: optimized geometry, GGA-PBE.

Lattice parameters (Å, degrees): 3.9776 4.0568 4.0568 90.00 90.00 90.00
Last column: nearest neighbours and their distance in Å.
Positions (direct):
Ni1 0.0000 0.0000 0.5000  4 Th 2.84, 4 Ir 2.84, 4 Ni 2.87
Ni2 0.0000 0.5000 0.0000  4 Th 2.84, 4 Ir 2.84, 4 Ni 2.87
Ir1 0.5000 0.0000 0.0000  8 Ni 2.84, 4 Th 2.87
Th1 0.5000 0.5000 0.5000  8 Ni 2.84, 4 Ir 2.87

- ΔE_f (meV/atom) = -466
- density of states at the Fermi level (states/eV/cell) = 4.89
- volume (Å³/f.u.) = 65.5
- total magnetization (μB per atom) = 0.00
- total energy (eV per atom) = -7.43

(10)
ThNi3Ir2: optimized geometry, GGA-PBE.

Lattice parameters (Å, degrees): 5.1104 5.1104 8.3928 90.00 90.00 120.00
Last column: nearest neighbours and their distance in Å.
Positions (direct):
Th1 0.0000 0.0000 0.5000  6 Ir 2.95
Th2 0.0000 0.0000 0.0000  6 Ir 2.95
Ni1 0.5000 0.0000 0.2500  4 Ni 2.56, 4 Ir 2.56
Ni2 0.0000 0.5000 0.7500  4 Ni 2.56, 4 Ir 2.56
Ni3 0.5000 0.0000 0.7500  4 Ni 2.56, 4 Ir 2.56
Ni4 0.5000 0.5000 0.2500  4 Ni 2.56, 4 Ir 2.56
Ni5 0.0000 0.5000 0.2500  4 Ni 2.56, 4 Ir 2.56
Ni6 0.5000 0.5000 0.7500  4 Ni 2.56, 4 Ir 2.56
Ir1 0.6667 0.3333 0.5000  6 Ni 2.56
Ir2 0.3333 0.6667 0.0000  6 Ni 2.56
Ir3 0.3333 0.6667 0.5000  6 Ni 2.56
Ir4 0.6667 0.3333 0.0000  6 Ni 2.56

- ΔE_f (meV/atom) = -364
- density of states at the Fermi level (states/eV/cell) = 21.64
- volume (Å³/f.u.) = 94.9
- total magnetization (μB per atom) = 0.04
- total energy (eV per atom) = -7.44

(11)
ThNiIr2: optimized geometry, GGA-PBE.

Lattice parameters (Å, degrees): 4.9276 5.3790 12.1474 90.00 90.00 90.00
Last column: nearest neighbours and their distance in Å.
Positions (direct):
Th1 0.0000 0.2500 0.6058  2 Ni 2.74
Th2 0.5000 0.7500 0.1038  8 Ir 3.04-3.08
Th3 0.0000 0.7500 0.3942  2 Ni 2.74
Th4 0.5000 0.2500 0.8962  8 Ir 3.04-3.08
Ni1 0.5000 0.7500 0.6657  4 Ir 2.42, 2 Ni 2.47
Ni2 0.5000 0.2500 0.3343  4 Ir 2.42, 2 Ni 2.47
Ni3 0.0000 0.2500 0.3502  2 Ni 2.47, 2 Ir 2.59, 2 Th 2.74
Ni4 0.0000 0.7500 0.6498  2 Ni 2.47, 2 Ir 2.59, 2 Th 2.74
Ir1 0.0000 0.0000 0.0000  6 Ir 2.69
Ir2 0.5000 0.5000 0.5000  2 Ni 2.42, 2 Ir 2.69
Ir3 0.2501 0.7500 0.8372  2 Ni 2.42-2.59, 4 Ir 2.46-2.69
Ir4 0.7499 0.2500 0.1628  2 Ni 2.42-2.59, 4 Ir 2.46-2.69
Ir5 0.7499 0.7500 0.8372  2 Ni 2.42-2.59, 4 Ir 2.46-2.69
Ir6 0.2501 0.2500 0.1628  2 Ni 2.42-2.59, 4 Ir 2.46-2.69
Ir7 0.0000 0.5000 0.0000  6 Ir 2.69
Ir8 0.5000 0.0000 0.5000  2 Ni 2.42, 2 Ir 2.69

- ΔE_f (meV/atom) = -307
- density of states at the Fermi level (states/eV/cell) = 13.76
- volume (Å³/f.u.) = 80.5
- total magnetization (μB per atom) = 0.00
- total energy (eV per atom) = -8.04

(12)
ThNi2Ir: optimized geometry, GGA-PBE.

Lattice parameters (Å, degrees): 4.5372 4.4764 4.4764 56.87 90.00 90.00
Last column: nearest neighbours and their distance in Å.
Positions (direct):
Th1 0.0000 0.8721 0.1279  4 Ni 2.71, 2 Ir 2.95
Ni1 0.5000 0.9822 0.3872  2 Ni 2.37, 3 Ir 2.48-2.63
Ni2 0.5000 0.6128 0.0178  2 Ni 2.37, 3 Ir 2.48-2.63
Ir1 0.5000 0.3128 0.6872  6 Ni 2.48-2.63

- ΔE_f (meV/atom) = -353
- density of states at the Fermi level (states/eV/cell) = 2.65
- volume (Å³/f.u.) = 76.1
- total magnetization (μB per atom) = 0.00
- total energy (eV per atom) = -7.31